Entry 1:
The following is a DFT calculation (GGA-PBE) of a relaxed Fe2PBr crystal.

Unit cell a=3.3410 b=3.4242 c=6.1119 alpha=90.00 beta=98.03 gamma=90.00
Element x y z (fractional)
Fe (0.1749, 0.0000, 0.3480)
Fe (0.8251, 0.0000, 0.6520)
P (0.5000, 0.5000, 0.5000)
Br (0.0000, 0.5000, 0.0000)

## Properties
uncorrected formation energy = 0.7 eV per formula unit
space group = No. 10


Entry 2:
The following is a DFT calculation (GGA-PBE) of a relaxed Fe2PBr crystal.

Unit cell a=3.4459 b=3.4459 c=11.6945 alpha=90.00 beta=90.00 gamma=90.00
Element x y z (fractional)
Fe (0.0000, 0.0000, 0.0000)
Fe (0.0000, 0.5000, 0.2500)
Fe (0.5000, 0.0000, 0.7500)
Fe (0.5000, 0.5000, 0.5000)
P (0.0000, 0.5000, 0.7500)
P (0.5000, 0.0000, 0.2500)
Br (0.0000, 0.0000, 0.5000)
Br (0.5000, 0.5000, 0.0000)

## Properties
uncorrected formation energy = 2.6 eV per formula unit
space group = No. 119


Entry 3:
The following is a DFT calculation (GGA-PBE) of a relaxed Fe2PBr crystal.

Unit cell a=3.1051 b=3.1051 c=7.3284 alpha=90.00 beta=90.00 gamma=90.00
Element x y z (fractional)
Fe (0.0000, 0.0000, 0.0000)
Fe (0.5000, 0.5000, 0.2130)
P (0.0000, 0.0000, 0.3311)
Br (0.5000, 0.5000, 0.7894)

## Properties
uncorrected formation energy = 0.3 eV per formula unit
space group = No. 99


Entry 4:
The following is a DFT calculation (GGA-PBE) of a relaxed Fe2PBr crystal.

Unit cell a=2.9580 b=3.7944 c=6.3077 alpha=90.00 beta=90.00 gamma=90.00
Element x y z (fractional)
Fe (0.0000, 0.0000, 0.0000)
Fe (0.5000, 0.0000, 0.5000)
P (0.0000, 0.5000, 0.5000)
Br (0.5000, 0.5000, 0.0000)

## Properties
uncorrected formation energy = 2.5 eV per formula unit
space group = No. 47


E above lowest polymorph for every record listed, in sequence, given in meV/atom: 302; 789; 209; 771.